Computed, not measured: crystalline DyPaTe4 at its relaxed geometry at the PBE level of DFT.

Calculated values
Magnetic moment in μB per formula unit: 0.00
Raw formation energy in kJ/mol of formula units: -600
E above lowest polymorph in meV/atom: 0.0
V in Å³ per cell: 236.0
Final energy in Ry per atom: -0.403

Lattice parameters (Å, degrees): 4.3936 7.1917 7.4691 89.44 90.00 90.00
Atoms (fractional coordinates):
Dy 0.0000 0.0000 0.0000
Pa 0.5000 0.0000 0.5000
Te 0.0000 0.7572 0.6596
Te 0.5000 0.2409 0.8231
Te 0.5000 0.7591 0.1769
Te 0.0000 0.2428 0.3404

***

Computed, not measured: crystalline La2MgMn at its relaxed geometry at the PBE level of DFT.

Calculated values
Magnetic moment in μB per formula unit: 3.04
V in Å³ per cell: 114.4
Final energy in Ry per atom: -0.372
ΔE_f in eV/atom: 0.099

Lattice parameters (Å, degrees): 3.7657 3.7657 8.0684 90.00 90.00 90.02
Atoms (fractional coordinates):
La 0.0000 0.0000 0.9753
La 0.0000 0.0000 0.5247
Mg 0.5000 0.5000 0.2500
Mn 0.5000 0.5000 0.7500

***

Computed, not measured: crystalline PmPu2Ge at its relaxed geometry at the PBE level of DFT.

Calculated values
Magnetic moment in μB per formula unit: 11.73
E above lowest polymorph in meV/atom: 92.1
V in Å³ per cell: 102.2
Final energy in Ry per atom: -0.712
ΔE_f in eV/atom: -0.174

Lattice parameters (Å, degrees): 3.9968 3.9968 6.3974 90.00 90.00 90.00
Atoms (fractional coordinates):
Ge 0.5000 0.5000 0.5000
Pm 0.5000 0.5000 0.0000
Pu 0.0000 0.0000 0.7169
Pu 0.0000 0.0000 0.2831

***

- Which of these has the lowest V?
  PmPu2Ge

***

- Which formula does entry 1 have?
  DyPaTe4

***

- Number 2 is which compound?
  La2MgMn

***

- Look up the magnetic moment of the second one.
  3.04 μB per formula unit